# 1
Ac2Zn3Pd (PBE, optimized geometry); calculated formation energy = -0.49 eV/atom; E_tot = -3.358 eV/atom; DOS at the Fermi energy = 3.847 states/eV/f.u.; magnetization = 0.00 Bohr magnetons per cell; ρ = 8.36 g/cm³
1.0
4.0540 0.0000 0.0000
0.0000 4.6393 0.0000
0.0000 0.0000 7.9906
Ac Zn Pd
2 3 1
Direct
0.0000 0.5000 0.0141
0.0000 0.0000 0.4873
0.5000 0.0000 0.8290
0.5000 0.0000 0.1621
0.5000 0.5000 0.6727
0.5000 0.5000 0.3348

# 2
YTmGa (PBE, optimized geometry); calculated formation energy = -0.21 eV/atom; E_tot = -4.865 eV/atom; DOS at the Fermi energy = 3.070 states/eV/f.u.; magnetization = 0.00 Bohr magnetons per cell; E above lowest polymorph = 0.212 eV/atom; ρ = 6.65 g/cm³
1.0
4.7444 0.0000 0.0000
0.0000 4.7444 0.0000
0.0000 0.0000 7.2685
Y Ga Tm
2 2 2
Direct
0.0000 0.5000 0.7068
0.5000 0.0000 0.2932
0.5000 0.5000 0.0000
0.0000 0.0000 0.0000
0.5000 0.0000 0.7711
0.0000 0.5000 0.2289

# 3
TlAg4Pd2 (PBE, optimized geometry); calculated formation energy = 0.10 eV/atom; E_tot = -3.356 eV/atom; DOS at the Fermi energy = 1.969 states/eV/f.u.; magnetization = 0.00 Bohr magnetons per cell; ρ = 10.05 g/cm³
1.0
4.7474 0.0000 0.0000
0.0000 7.6858 0.0000
0.0000 0.0000 7.6858
Tl Ag Pd
2 8 4
Direct
0.5000 0.0000 0.0000
0.0000 0.5000 0.5000
0.0000 0.1095 0.3651
0.0000 0.8905 0.6349
0.5000 0.1349 0.6095
0.5000 0.8651 0.3905
0.5000 0.3905 0.8651
0.5000 0.6095 0.1349
0.0000 0.3651 0.1095
0.0000 0.6349 0.8905
0.0000 0.2466 0.7534
0.0000 0.7534 0.2466
0.5000 0.7466 0.7466
0.5000 0.2534 0.2534

# 4
Lu2BeIn (PBE, optimized geometry); calculated formation energy = -0.10 eV/atom; E_tot = -3.979 eV/atom; DOS at the Fermi energy = 3.110 states/eV/f.u.; magnetization = 0.00 Bohr magnetons per cell; E above lowest polymorph = 0.081 eV/atom; ρ = 8.89 g/cm³
1.0
-0.8674 4.2787 -2.4409
-2.8651 0.0038 -4.0999
-4.5490 2.0754 0.1299
Be Lu In
1 2 1
Direct
0.0000 0.0000 0.0000
0.2500 0.2500 0.2500
0.7500 0.7500 0.7500
0.5000 0.5000 0.5000

# 5
TeHRh (PBE, optimized geometry); E_tot = -4.702 eV/atom; DOS at the Fermi energy = 1.330 states/eV/f.u.; magnetization = 0.00 Bohr magnetons per cell; E above lowest polymorph = 0.000 eV/atom; ρ = 7.74 g/cm³
1.0
-0.5076 0.3976 -3.0010
-3.9184 -2.6675 0.3094
-3.6829 5.5678 1.3605
Te H Rh
2 2 2
Direct
0.0000 0.0000 0.2251
0.5000 0.5000 0.7251
0.0000 0.0000 0.6807
0.5000 0.5000 0.1807
0.0000 0.5000 0.0544
0.5000 0.0000 0.5544

# 6
ThCBr (PBE, optimized geometry); E_tot = -6.797 eV/atom; E_form (uncorrected) = -15.95 kcal/mol of atoms; DOS at the Fermi energy = 2.007 states/eV/f.u.; magnetization = 0.75 Bohr magnetons per cell; ρ = 6.39 g/cm³
1.0
-3.3146 2.3439 0.5815
0.2890 -3.6416 1.8639
5.1488 5.0377 9.0438
Th Br C
2 2 2
Direct
0.6667 0.3333 0.1346
0.3333 0.6667 0.8654
0.0000 0.0000 0.3121
0.0000 0.0000 0.6879
0.6667 0.3333 0.9248
0.3333 0.6667 0.0752

# 7
Cs3La2PrTe6 (PBE, optimized geometry); E_tot = -4.477 eV/atom; E_form (uncorrected) = -33.98 kcal/mol of atoms; DOS at the Fermi energy = 0.000 states/eV/f.u.; magnetization = 0.00 Bohr magnetons per cell; ρ = 5.02 g/cm³
1.0
8.2245 -0.0006 0.0000
-4.1108 7.1235 0.0000
-1.3719 -2.3754 8.9394
Cs La Pr Te
3 2 1 6
Direct
0.1671 0.8329 0.5000
0.8329 0.1671 0.5000
0.5000 0.5000 0.5000
0.3334 0.6666 0.0000
0.6666 0.3334 0.0000
0.0000 0.0000 0.0000
0.9347 0.6034 0.8041
0.7341 0.7341 0.1962
0.0653 0.3966 0.1959
0.6034 0.9347 0.8041
0.2659 0.2659 0.8038
0.3966 0.0653 0.1959

# 8
CeEr4Sc3 (PBE, optimized geometry); calculated formation energy = 0.44 eV/atom; E_tot = -4.962 eV/atom; DOS at the Fermi energy = 18.518 states/eV/f.u.; magnetization = 0.05 Bohr magnetons per cell; ρ = 6.89 g/cm³
1.0
-1.5576 -2.8143 0.3728
0.3214 0.9286 8.3531
-7.3526 3.9154 -1.1615
Ce Er Sc
1 4 3
Direct
0.5000 0.0000 0.0000
0.0000 0.7574 0.7574
0.5000 0.2481 0.7519
0.0000 0.2426 0.2426
0.5000 0.7519 0.2481
0.0000 0.0000 0.5000
0.5000 0.5000 0.5000
0.0000 0.5000 0.0000

Q: What is the formula in the second record?
A: YTmGa

Please write out number 6 again, unchanged.
ThCBr (PBE, optimized geometry); E_tot = -6.797 eV/atom; E_form (uncorrected) = -15.95 kcal/mol of atoms; DOS at the Fermi energy = 2.007 states/eV/f.u.; magnetization = 0.75 Bohr magnetons per cell; ρ = 6.39 g/cm³
1.0
-3.3146 2.3439 0.5815
0.2890 -3.6416 1.8639
5.1488 5.0377 9.0438
Th Br C
2 2 2
Direct
0.6667 0.3333 0.1346
0.3333 0.6667 0.8654
0.0000 0.0000 0.3121
0.0000 0.0000 0.6879
0.6667 0.3333 0.9248
0.3333 0.6667 0.0752